Density functional theory data (PBE) for CePaBi after structural relaxation.

Lattice parameters (Å, degrees): 5.479 5.432 6.235 90.00 90.00 90.00
Positions (direct):
Bi: 0.207 0.000 0.250
Bi: 0.793 0.000 0.750
Ce: 0.000 0.500 0.500
Ce: 0.000 0.500 0.000
Pa: 0.490 0.500 0.750
Pa: 0.510 0.500 0.250

E above lowest polymorph in meV per atom: 308
N(E_F) in states/eV/f.u.: 7.35
DFT total energy in eV/cell: -37.792
ΔE_f in eV per atom: 0.138

Density functional theory data (PBE) for Ce6PaBi10 after structural relaxation.

Lattice parameters (Å, degrees): 6.474 9.714 9.714 120.00 90.00 90.00
Positions (direct):
Bi: 0.000 0.667 0.333
Bi: 0.761 0.000 0.267
Bi: 0.500 0.667 0.333
Bi: 0.239 0.000 0.733
Bi: 0.500 0.333 0.667
Bi: 0.000 0.333 0.667
Bi: 0.239 0.733 0.000
Bi: 0.239 0.267 0.267
Bi: 0.761 0.733 0.733
Bi: 0.761 0.267 0.000
Ce: 0.250 0.000 0.386
Ce: 0.750 0.386 0.386
Ce: 0.750 0.000 0.614
Ce: 0.750 0.614 0.000
Ce: 0.250 0.614 0.614
Ce: 0.250 0.386 0.000
Pa: 0.500 0.000 0.000

N(E_F) in states/eV/f.u.: 29.07
DFT total energy in eV/cell: -94.361
ΔE_f in eV per atom: -0.615

Density functional theory data (PBE) for CePaBi after structural relaxation.

Lattice parameters (Å, degrees): 3.308 5.270 5.270 120.00 90.00 90.00
Positions (direct):
Ce: 0.166 0.667 0.333
Pa: 0.166 0.000 0.000
Bi: 0.667 0.333 0.667

E above lowest polymorph in meV per atom: 230
N(E_F) in states/eV/f.u.: 6.80
DFT total energy in eV/cell: -19.132
ΔE_f in eV per atom: 0.060

Density functional theory data (PBE) for CePa2Bi5 after structural relaxation.

Lattice parameters (Å, degrees): 4.547 8.399 13.081 90.00 90.00 90.00
Positions (direct):
Bi: 0.000 0.500 0.000
Bi: 0.500 0.233 0.077
Bi: 0.500 0.267 0.577
Bi: 0.000 0.861 0.221
Bi: 0.500 0.767 0.923
Bi: 0.000 0.139 0.779
Bi: 0.500 0.733 0.423
Bi: 0.000 0.639 0.721
Bi: 0.000 0.000 0.500
Bi: 0.000 0.361 0.279
Ce: 0.000 0.500 0.500
Ce: 0.000 0.000 0.000
Pa: 0.500 0.594 0.178
Pa: 0.500 0.906 0.678
Pa: 0.500 0.094 0.322
Pa: 0.500 0.406 0.822

N(E_F) in states/eV/f.u.: 13.79
DFT total energy in eV/cell: -92.185
ΔE_f in eV per atom: -0.220

Density functional theory data (PBE) for Ce3PaBi12 after structural relaxation.

Lattice parameters (Å, degrees): 4.979 4.979 19.536 90.00 90.00 90.00
Positions (direct):
Bi: 0.500 0.000 0.878
Bi: 0.000 0.500 0.626
Bi: 0.500 0.000 0.374
Bi: 0.000 0.500 0.374
Bi: 0.500 0.000 0.122
Bi: 0.500 0.500 0.500
Bi: 0.500 0.000 0.626
Bi: 0.000 0.500 0.878
Bi: 0.000 0.500 0.122
Bi: 0.500 0.500 0.000
Bi: 0.500 0.500 0.751
Bi: 0.500 0.500 0.249
Ce: 0.000 0.000 0.500
Ce: 0.000 0.000 0.249
Ce: 0.000 0.000 0.751
Pa: 0.000 0.000 0.000

N(E_F) in states/eV/f.u.: 23.14
DFT total energy in eV/cell: -79.712
ΔE_f in eV per atom: -0.365

Density functional theory data (PBE) for CePaBi after structural relaxation.

Lattice parameters (Å, degrees): 4.272 4.272 5.614 112.36 112.36 90.00
Positions (direct):
Bi: 0.950 0.950 0.901
Ce: 0.589 0.589 0.178
Pa: 0.311 0.311 0.621

E above lowest polymorph in meV per atom: 0
N(E_F) in states/eV/f.u.: 7.29
DFT total energy in eV/cell: -19.822
ΔE_f in eV per atom: -0.170

Density functional theory data (PBE) for CePaBi3 after structural relaxation.

Lattice parameters (Å, degrees): 6.004 8.023 8.023 120.00 90.00 90.00
Positions (direct):
Bi: 0.750 0.602 0.801
Bi: 0.250 0.801 0.602
Bi: 0.750 0.199 0.398
Bi: 0.250 0.398 0.199
Bi: 0.250 0.801 0.199
Bi: 0.750 0.199 0.801
Ce: 0.250 0.334 0.666
Ce: 0.750 0.666 0.334
Pa: 0.500 0.000 0.000
Pa: 0.000 0.000 0.000

N(E_F) in states/eV/f.u.: 10.04
DFT total energy in eV/cell: -55.685
ΔE_f in eV per atom: -0.154

Density functional theory data (PBE) for Ce2PaBi5 after structural relaxation.

Lattice parameters (Å, degrees): 4.542 8.323 13.761 90.00 90.00 90.00
Positions (direct):
Bi: 0.500 0.738 0.427
Bi: 0.500 0.238 0.073
Bi: 0.000 0.500 0.000
Bi: 0.000 0.612 0.714
Bi: 0.000 0.000 0.500
Bi: 0.000 0.888 0.214
Bi: 0.000 0.112 0.786
Bi: 0.500 0.762 0.927
Bi: 0.500 0.262 0.573
Bi: 0.000 0.388 0.286
Pa: 0.000 0.000 0.000
Pa: 0.000 0.500 0.500
Ce: 0.500 0.890 0.681
Ce: 0.500 0.610 0.181
Ce: 0.500 0.390 0.819
Ce: 0.500 0.110 0.319

N(E_F) in states/eV/f.u.: 14.12
DFT total energy in eV/cell: -87.950
ΔE_f in eV per atom: -0.401

Question: Look up the DFT total energy of the second one.
Answer: -94.361 eV/cell

Question: The lowest DFT total energy belongs to which entry?
Answer: Ce6PaBi10

Question: The lowest N(E_F) belongs to which entry?
Answer: number 3

Question: Number 8 is which compound?
Answer: Ce2PaBi5